First-principles (PBE) data for crystalline Y2Fe14BH4 at its relaxed geometry, as listed in OQMD via LeMat-Bulk.

Structure (CIF):
```
data_Y2Fe14BH4
_symmetry_space_group_name_H-M 'P 42/m n m'
_symmetry_Int_Tables_number 136
_symmetry_space_group_name_Hall '-P 4n 2n'
_cell_length_a 8.847
_cell_length_b 8.847
_cell_length_c 12.135
_cell_angle_alpha 90.00
_cell_angle_beta 90.00
_cell_angle_gamma 90.00
loop_
_atom_site_label
_atom_site_type_symbol
_atom_site_fract_x
_atom_site_fract_y
_atom_site_fract_z
Y1 Y 0.155 0.155 0.000
Y2 Y 0.234 0.234 0.500
Fe1 Fe 0.000 0.000 0.389
Fe2 Fe 0.000 0.500 0.000
Fe3 Fe 0.039 0.635 0.176
Fe4 Fe 0.061 0.725 0.376
Fe5 Fe 0.104 0.896 0.214
Fe6 Fe 0.185 0.185 0.257
B1 B 0.125 0.875 0.500
H1 H 0.032 0.197 0.151
```

VASP energy (eV/atom): -7.220
M_tot (μB/cell): 122.03


First-principles (PBE) data for crystalline Hf2FeB at its relaxed geometry, as listed in OQMD via LeMat-Bulk.

Structure (CIF):
```
data_Hf2FeB
_symmetry_space_group_name_H-M 'F -4 3 m'
_symmetry_Int_Tables_number 216
_symmetry_space_group_name_Hall 'F -4 2 3'
_cell_length_a 6.105
_cell_length_b 6.105
_cell_length_c 6.105
_cell_angle_alpha 90.00
_cell_angle_beta 90.00
_cell_angle_gamma 90.00
loop_
_atom_site_label
_atom_site_type_symbol
_atom_site_fract_x
_atom_site_fract_y
_atom_site_fract_z
Hf1 Hf 0.000 0.000 0.000
Hf2 Hf 0.250 0.250 0.250
Fe1 Fe 0.250 0.250 0.750
B1 B 0.000 0.000 0.500
```

VASP energy (eV/atom): -8.191
M_tot (μB/cell): 0.14


First-principles (PBE) data for crystalline Hf2FeB at its relaxed geometry, as listed in OQMD via LeMat-Bulk.

Structure (CIF):
```
data_Hf2FeB
_symmetry_space_group_name_H-M 'P 63/m m c'
_symmetry_Int_Tables_number 194
_symmetry_space_group_name_Hall '-P 6c 2c'
_cell_length_a 3.2797
_cell_length_b 3.2797
_cell_length_c 13.3820
_cell_angle_alpha 90.00
_cell_angle_beta 90.00
_cell_angle_gamma 120.00
loop_
_atom_site_label
_atom_site_type_symbol
_atom_site_fract_x
_atom_site_fract_y
_atom_site_fract_z
Hf1 Hf 0.3333 0.6667 0.1068
Fe1 Fe 0.3333 0.6667 0.7500
B1 B 0.0000 0.0000 0.0000
```

VASP energy (eV/atom): -8.797
M_tot (μB/cell): 2.16


First-principles (PBE) data for crystalline Hf4FeB3 at its relaxed geometry, as listed in OQMD via LeMat-Bulk.

Structure (CIF):
```
data_Hf4FeB3
_symmetry_space_group_name_H-M 'P 63/m m c'
_symmetry_Int_Tables_number 194
_symmetry_space_group_name_Hall '-P 6c 2c'
_cell_length_a 3.3657
_cell_length_b 3.3657
_cell_length_c 24.5020
_cell_angle_alpha 90.00
_cell_angle_beta 90.00
_cell_angle_gamma 120.00
loop_
_atom_site_label
_atom_site_type_symbol
_atom_site_fract_x
_atom_site_fract_y
_atom_site_fract_z
Hf1 Hf 0.0000 0.0000 0.1720
Hf2 Hf 0.3333 0.6667 0.0581
Fe1 Fe 0.3333 0.6667 0.2500
B1 B 0.0000 0.0000 0.0000
B2 B 0.3333 0.6667 0.6169
```

VASP energy (eV/atom): -8.772
M_tot (μB/cell): 3.55


First-principles (PBE) data for crystalline HfFeB4 at its relaxed geometry, as listed in OQMD via LeMat-Bulk.

Structure (CIF):
```
data_HfFeB4
_symmetry_space_group_name_H-M 'P 6/m m m'
_symmetry_Int_Tables_number 191
_symmetry_space_group_name_Hall '-P 6 2'
_cell_length_a 3.0990
_cell_length_b 3.0990
_cell_length_c 6.2405
_cell_angle_alpha 90.00
_cell_angle_beta 90.00
_cell_angle_gamma 120.00
loop_
_atom_site_label
_atom_site_type_symbol
_atom_site_fract_x
_atom_site_fract_y
_atom_site_fract_z
Hf1 Hf 0.0000 0.0000 0.0000
Fe1 Fe 0.0000 0.0000 0.5000
B1 B 0.3333 0.6667 0.2742
```

M_tot (μB/cell): 1.83
Polymorph energy (0 for the lowest one) (meV/atom): 135


First-principles (PBE) data for crystalline HfFe2B at its relaxed geometry, as listed in OQMD via LeMat-Bulk.

Structure (CIF):
```
data_HfFe2B
_symmetry_space_group_name_H-M 'F -4 3 m'
_symmetry_Int_Tables_number 216
_symmetry_space_group_name_Hall 'F -4 2 3'
_cell_length_a 5.831
_cell_length_b 5.831
_cell_length_c 5.831
_cell_angle_alpha 90.00
_cell_angle_beta 90.00
_cell_angle_gamma 90.00
loop_
_atom_site_label
_atom_site_type_symbol
_atom_site_fract_x
_atom_site_fract_y
_atom_site_fract_z
Hf1 Hf 0.000 0.000 0.000
Fe1 Fe 0.000 0.000 0.500
Fe2 Fe 0.250 0.250 0.250
B1 B 0.250 0.250 0.750
```

VASP energy (eV/atom): -8.180
M_tot (μB/cell): 17.58